Compound: SrThCr2O8
Source: the Alexandria database
Functional: PBE+U
Structure: relaxed

Calculated values
E = -91.046 eV for the cell shown
total magnetic moment = 2.0 μB per cell

Cell and atoms, written as POSCAR:
```
SrThCr2O8
1.0
-3.745 3.745 3.249
3.745 -3.745 3.249
3.745 3.745 -3.249
Sr Th Cr O
1 1 2 8
direct
0.000 0.000 0.000
0.750 0.250 0.500
0.250 0.750 0.500
0.500 0.500 0.000
0.075 0.402 0.327
0.075 0.748 0.673
0.156 0.343 0.813
0.252 0.925 0.327
0.530 0.343 0.187
0.598 0.925 0.673
0.657 0.470 0.813
0.657 0.844 0.187
```